Compound: RbZrPa2O8
Source: Alexandria
Functional: GGA-PBE
Structure: optimized geometry

Calculated values
Calculated total energy, eV per atom: -8.65
Formation energy from raw total energies, eV per atom: -2.97
Crystal system: monoclinic
Space group: P2/m, No. 10
Total magnetic moment, μB/atom: 0.08

abc: 5.0650 5.0642 7.6554
angles: 90.00 90.00 88.27
Closest atoms and distances in Å follow each position.
Positions (direct):
O 0.3566 0.3537 0.5000  1 O 2.11, 2 Pa 2.31
Pa 0.5000 0.5000 0.7680  6 O 2.06-2.31
O 0.6434 0.6463 0.5000  1 O 2.11, 2 Pa 2.31
O 0.2091 0.7896 0.8005  1 Pa 2.06, 1 Zr 2.13
O 0.3018 0.3007 0.0000  1 Zr 2.19, 2 Pa 2.29
Pa 0.5000 0.5000 0.2320  6 O 2.06-2.31
O 0.7909 0.2104 0.1995  1 Pa 2.06, 1 Zr 2.13
Rb 0.0000 0.0000 0.5000  6 O 2.58-2.74
O 0.7909 0.2104 0.8005  1 Pa 2.06, 1 Zr 2.13
O 0.6982 0.6993 0.0000  1 Zr 2.19, 2 Pa 2.29
Zr 0.0000 0.0000 0.0000  6 O 2.13-2.19
O 0.2091 0.7896 0.1995  1 Pa 2.06, 1 Zr 2.13

Compound: BaCe2EuO6
Source: Alexandria
Functional: GGA-PBE
Structure: optimized geometry

Calculated values
Calculated total energy, eV per atom: -8.43
E above lowest polymorph, meV per atom: 136.0
Formation energy from raw total energies, eV per atom: -3.05
Crystal system: tetragonal
Space group: P4/mmm, No. 123
Total magnetic moment, μB/atom: 0.72

abc: 4.4454 4.4454 8.8922
angles: 90.00 90.00 90.00
Closest atoms and distances in Å follow each position.
Positions (direct):
O 0.5000 0.0000 0.2606  2 Ce 2.22
O 0.5000 0.0000 0.7394  2 Ce 2.22
Ce 0.0000 0.0000 0.2540  6 O 2.19-2.26
Ba 0.5000 0.5000 0.0000  12 O 3.14-3.21
O 0.0000 0.5000 0.7394  2 Ce 2.22
O 0.0000 0.5000 0.2606  2 Ce 2.22
O 0.0000 0.0000 0.5000  2 Ce 2.19
Ce 0.0000 0.0000 0.7460  6 O 2.19-2.26
Eu 0.5000 0.5000 0.5000  12 O 3.08-3.14
O 0.0000 0.0000 0.0000  2 Ce 2.26

Compound: ZrIr2I
Source: Alexandria
Functional: GGA-PBE
Structure: optimized geometry

Calculated values
Calculated total energy, eV per atom: -6.43
E above lowest polymorph, meV per atom: 103.1
Formation energy from raw total energies, eV per atom: 0.53
Crystal system: tetragonal
Space group: I-42d, No. 122
Total magnetic moment, μB/atom: 0.00

abc: 5.8531 5.8531 7.4638
angles: 66.91 66.91 90.00
Closest atoms and distances in Å follow each position.
Positions (direct):
I 0.7500 0.2500 0.5000  4 Ir 2.56
Ir 0.1173 0.6250 0.2500  2 I 2.56, 2 Zr 2.61
Zr 0.2500 0.7500 0.5000  4 Ir 2.61
I 0.0000 0.0000 0.0000  4 Ir 2.56
Ir 0.8750 0.8827 0.7500  2 I 2.56, 2 Zr 2.61
Ir 0.6327 0.1250 0.2500  2 I 2.56, 2 Zr 2.61
Ir 0.3750 0.3673 0.7500  2 I 2.56, 2 Zr 2.61
Zr 0.5000 0.5000 0.0000  4 Ir 2.61

Compound: RbTiTl2Cl6
Source: Alexandria
Functional: GGA-PBE
Structure: optimized geometry

Calculated values
Calculated total energy, eV per atom: -3.90
Formation energy from raw total energies, eV per atom: -1.43
Crystal system: trigonal
Space group: R3, No. 146
Total magnetic moment, μB/atom: 0.10

abc: 7.7051 7.7047 7.8163
angles: 60.44 60.45 59.97
Closest atoms and distances in Å follow each position.
Positions (direct):
Ti 0.3228 0.3228 0.0315  6 Cl 2.44-2.46
Cl 0.4313 0.6375 0.7992  1 Ti 2.46
Cl 0.6375 0.1315 0.7997  1 Ti 2.46
Tl 0.5349 0.5348 0.3957  6 Cl 3.25-3.29
Tl 0.0281 0.0281 0.9155  6 Cl 3.18-3.38
Cl 0.5376 0.2071 0.2402  1 Ti 2.44
Cl 0.2069 0.0152 0.2406  1 Ti 2.44
Cl 0.1318 0.4312 0.7995  1 Ti 2.46
Cl 0.0151 0.5379 0.2401  1 Ti 2.44
Rb 0.8156 0.8155 0.5533  6 Cl 3.19-3.33

Compound: LiNd2YTe5
Source: Alexandria
Functional: GGA-PBE
Structure: optimized geometry

Calculated values
Calculated total energy, eV per atom: -5.06
Formation energy from raw total energies, eV per atom: -1.33
Crystal system: orthorhombic
Space group: Cmc2_1, No. 36
Total magnetic moment, μB/atom: 0.00

abc: 4.4114 9.6434 13.2515
angles: 90.00 90.00 103.22
Closest atoms and distances in Å follow each position.
Positions (direct):
Nd 0.1264 0.2528 0.3015  8 Te 3.23-3.52
Te 0.7173 0.4346 0.1680  2 Y 3.07, 3 Nd 3.30-3.33
Li 0.4420 0.8840 0.4632  4 Te 2.64-2.91
Te 0.3111 0.6223 0.3450  1 Li 2.91, 2 Y 3.10
Te 0.9527 0.9054 0.5718  2 Li 2.64, 1 Y 2.94
Te 0.3617 0.7233 0.9980  1 Y 3.08, 4 Nd 3.38-3.42
Te 0.6383 0.2767 0.4980  1 Y 3.08, 4 Nd 3.38-3.42
Nd 0.1060 0.2120 0.6852  8 Te 3.25-3.43
Te 0.4983 0.9966 0.7824  1 Li 2.65
Y 0.1977 0.3954 0.0089  6 Te 2.94-3.10
Y 0.8023 0.6046 0.5089  6 Te 2.94-3.10
Te 0.2827 0.5654 0.6680  2 Y 3.07, 3 Nd 3.30-3.33
Li 0.5580 0.1160 0.9632  4 Te 2.64-2.91
Nd 0.8940 0.7880 0.1852  8 Te 3.25-3.43
Te 0.6889 0.3777 0.8450  1 Li 2.91, 2 Y 3.10
Te 0.0473 0.0946 0.0718  2 Li 2.64, 1 Y 2.94
Te 0.5017 0.0034 0.2824  1 Li 2.65
Nd 0.8736 0.7472 0.8015  8 Te 3.23-3.52

Compound: TlPtCl3
Source: Alexandria
Functional: GGA-PBE
Structure: optimized geometry

Calculated values
Calculated total energy, eV per atom: -3.33
E above lowest polymorph, meV per atom: 0.0
Formation energy from raw total energies, eV per atom: -0.54
Crystal system: cubic
Space group: Pm-3m, No. 221
Total magnetic moment, μB/atom: 0.00

abc: 4.9784 4.9784 4.9784
angles: 90.00 90.00 90.00
Closest atoms and distances in Å follow each position.
Positions (direct):
Cl 0.5000 0.0000 0.0000  2 Pt 2.49
Tl 0.5000 0.5000 0.5000  12 Cl 3.52
Cl 0.0000 0.5000 0.0000  2 Pt 2.49
Cl 0.0000 0.0000 0.5000  2 Pt 2.49
Pt 0.0000 0.0000 0.0000  6 Cl 2.49

Compound: YMgP2
Source: Alexandria
Functional: GGA-PBE
Structure: optimized geometry

Calculated values
Calculated total energy, eV per atom: -5.35
Crystal system: monoclinic
Space group: P2/m, No. 10
Total magnetic moment, μB/atom: 0.00
Energy relative to the elements, eV per atom: -0.634

abc: 3.6468 3.1373 7.1126
angles: 79.75 90.00 90.00
Closest atoms and distances in Å follow each position.
Positions (direct):
Mg 0.5000 0.7500 0.7500  4 P 2.65
P 0.0000 0.5889 0.5006  2 Mg 2.65, 2 Y 2.88
P 0.0000 0.9111 0.9994  2 Mg 2.65, 2 Y 2.88
Y 0.5000 0.2500 0.2500  8 P 2.88-3.08, 2 Y 3.14

Compound: Cs2Cd5Hg12
Source: Alexandria
Functional: GGA-PBE
Structure: optimized geometry

Calculated values
Calculated total energy, eV per atom: -0.62
Crystal system: trigonal
Space group: R-3m, No. 166
Total magnetic moment, μB/atom: 0.00
Energy relative to the elements, eV per atom: -0.100

abc: 8.3617 8.3617 8.3617
angles: 80.72 80.72 80.72
Closest atoms and distances in Å follow each position.
Positions (direct):
Hg 0.6487 0.1379 0.6487  3 Cd 3.11-3.42, 4 Hg 3.27-3.32
Hg 0.7096 0.0000 0.2904  4 Hg 3.15-3.32, 2 Cd 3.22
Hg 0.3513 0.8621 0.3513  3 Cd 3.11-3.42, 4 Hg 3.27-3.32
Cs 0.3448 0.3448 0.3448  12 Hg 3.87-4.02, 4 Cd 4.14-4.31
Hg 0.0000 0.2904 0.7096  4 Hg 3.15-3.32, 2 Cd 3.22
Cd 0.5000 0.0000 0.0000  8 Hg 3.11-3.22, 2 Cd 3.34
Hg 0.6487 0.6487 0.1379  3 Cd 3.11-3.42, 4 Hg 3.27-3.32
Hg 0.2904 0.0000 0.7096  4 Hg 3.15-3.32, 2 Cd 3.22
Cd 0.0000 0.0000 0.5000  8 Hg 3.11-3.22, 2 Cd 3.34
Hg 0.8621 0.3513 0.3513  3 Cd 3.11-3.42, 4 Hg 3.27-3.32
Hg 0.1379 0.6487 0.6487  3 Cd 3.11-3.42, 4 Hg 3.27-3.32
Hg 0.3513 0.3513 0.8621  3 Cd 3.11-3.42, 4 Hg 3.27-3.32
Hg 0.0000 0.7096 0.2904  4 Hg 3.15-3.32, 2 Cd 3.22
Cs 0.6552 0.6552 0.6552  12 Hg 3.87-4.02, 4 Cd 4.14-4.31
Hg 0.7096 0.2904 0.0000  4 Hg 3.15-3.32, 2 Cd 3.22
Hg 0.2904 0.7096 0.0000  4 Hg 3.15-3.32, 2 Cd 3.22
Cd 0.9037 0.9037 0.9037  4 Cd 3.21-3.34, 9 Hg 3.42-3.53
Cd 0.0963 0.0963 0.0963  4 Cd 3.21-3.34, 9 Hg 3.42-3.53
Cd 0.0000 0.5000 0.0000  8 Hg 3.11-3.22, 2 Cd 3.34